Here is an optimized crystal structure of TbY2Tm from Alexandria via LeMat-Bulk. Energies are from PBE.

- DOS at the Fermi energy (states/eV per cell) = 10.53
- energy (eV/atom) = -5.370
- volume (Å³ per atom) = 32.15
- E_form (kJ per mole of atoms) = 13.2
- theoretical density (g/cm3) = 6.529
- E above lowest polymorph (eV/atom) = 0.134

Cell: 5.6659 5.6659 5.6659 Å, 60.00 60.00 60.00°
Atoms (fractional coordinates):
Y 0.7500 0.7500 0.7500
Tm 0.5000 0.5000 0.5000
Tb 0.0000 0.0000 0.0000
Y 0.2500 0.2500 0.2500